[1]
# Tl2Hg | Alexandria | GGA-PBEsol | optimized geometry
data_Tl2Hg
_cell_length_a 3.4702
_cell_length_b 3.4702
_cell_length_c 27.3980
_cell_angle_alpha 90.00
_cell_angle_beta 90.00
_cell_angle_gamma 90.00
_symmetry_space_group_name_H-M 'I 41/a m d'
_symmetry_Int_Tables_number 141
loop_
_symmetry_equiv_pos_as_xyz
'x,y,z'
'-x,-y,-z'
'-y+1/4,x+3/4,z+1/4'
'y+1/4,-x+3/4,-z+1/4'
'-x+1/2,-y,z+1/2'
'x+1/2,y,-z+1/2'
'y+1/4,-x+1/4,z+3/4'
'-y+1/4,x+1/4,-z+3/4'
'x,-y,-z'
'-x,y,z'
'-y+1/4,-x+1/4,-z+3/4'
'y+1/4,x+1/4,z+3/4'
'-x+1/2,y,-z+1/2'
'x+1/2,-y,z+1/2'
'y+1/4,x+3/4,-z+1/4'
'-y+1/4,-x+3/4,z+1/4'
'x+1/2,y+1/2,z+1/2'
'-x+1/2,-y+1/2,-z+1/2'
'-y+3/4,x+1/4,z+3/4'
'y+3/4,-x+1/4,-z+3/4'
'-x,-y+1/2,z'
'x,y+1/2,-z'
'y+3/4,-x+3/4,z+1/4'
'-y+3/4,x+3/4,-z+1/4'
'x+1/2,-y+1/2,-z+1/2'
'-x+1/2,y+1/2,z+1/2'
'-y+3/4,-x+3/4,-z+1/4'
'y+3/4,x+3/4,z+1/4'
'-x,y+1/2,-z'
'x,-y+1/2,z'
'y+3/4,x+1/4,-z+3/4'
'-y+3/4,-x+1/4,z+3/4'
loop_
_atom_site_label
_atom_site_type_symbol
_atom_site_fract_x
_atom_site_fract_y
_atom_site_fract_z
Tl1 Tl 0.0000 0.2500 0.3007
Hg1 Hg 0.0000 0.2500 0.8750
# - energy relative to the lowest polymorph listed for this composition (meV/atom) = 42
# - formation energy from the elements (kJ per mole of atoms) = 3.1
# - total magnetic moment (μB/f.u.) = 0.00


[2]
# TlSbPtI2 | Alexandria | GGA-PBEsol | optimized geometry
data_TlSbPtI2
_cell_length_a 5.6264
_cell_length_b 5.6264
_cell_length_c 5.0694
_cell_angle_alpha 90.00
_cell_angle_beta 90.00
_cell_angle_gamma 90.00
_symmetry_space_group_name_H-M 'P 4/m m m'
_symmetry_Int_Tables_number 123
_symmetry_space_group_name_Hall '-P 4 2'
loop_
_atom_site_label
_atom_site_type_symbol
_atom_site_fract_x
_atom_site_fract_y
_atom_site_fract_z
Tl1 Tl 0.0000 0.0000 0.0000
Sb1 Sb 0.5000 0.5000 0.0000
Pt1 Pt 0.5000 0.5000 0.5000
I1 I 0.0000 0.5000 0.5000
# - energy relative to the lowest polymorph listed for this composition (meV/atom) = 0
# - total magnetic moment (μB/f.u.) = 0.01
# - E_form (uncorrected) (eV per atom) = 0.0372


[3]
# Li4Ti3Mn2Cu3O16 | Alexandria | GGA-PBEsol | optimized geometry
data_Li4Ti3Mn2Cu3O16
_cell_length_a 9.9953
_cell_length_b 5.8096
_cell_length_c 9.3056
_cell_angle_alpha 90.00
_cell_angle_beta 91.29
_cell_angle_gamma 90.00
_symmetry_space_group_name_H-M 'C 1 m 1'
_symmetry_Int_Tables_number 8
_symmetry_space_group_name_Hall 'C -2y'
loop_
_atom_site_label
_atom_site_type_symbol
_atom_site_fract_x
_atom_site_fract_y
_atom_site_fract_z
Li1 Li 0.0000 0.0000 0.0000
Li2 Li 0.0105 0.0000 0.5081
Li3 Li 0.1800 0.5000 0.9073
Li4 Li 0.3498 0.0000 0.4111
Ti1 Ti 0.1035 0.2522 0.2271
Ti2 Ti 0.1864 0.0000 0.7328
Mn1 Mn 0.1812 0.5000 0.5037
Mn2 Mn 0.3545 0.0000 0.9946
Cu1 Cu 0.3426 0.5000 0.2205
Cu2 Cu 0.4259 0.2436 0.7198
O1 O 0.0113 0.0000 0.8100
O2 O 0.0129 0.0000 0.3174
O3 O 0.0357 0.5000 0.3547
O4 O 0.1072 0.2571 0.6066
O5 O 0.1762 0.5000 0.1131
O6 O 0.1869 0.0000 0.1171
O7 O 0.2477 0.2779 0.3648
O8 O 0.2693 0.2144 0.8664
O9 O 0.3418 0.0000 0.6147
O10 O 0.3415 0.5000 0.5964
O11 O 0.4369 0.2336 0.1053
O12 O 0.4902 0.0000 0.8640
# - total magnetic moment (μB/f.u.) = 0.97
# - E_form (uncorrected) (eV per atom) = -1.8884


[4]
# Na2HfNbCd | Alexandria | GGA-PBEsol | optimized geometry
data_Na2HfNbCd
_cell_length_a 4.8662
_cell_length_b 4.8662
_cell_length_c 5.5730
_cell_angle_alpha 90.00
_cell_angle_beta 90.00
_cell_angle_gamma 90.00
_symmetry_space_group_name_H-M 'P 4/m m m'
_symmetry_Int_Tables_number 123
_symmetry_space_group_name_Hall '-P 4 2'
loop_
_atom_site_label
_atom_site_type_symbol
_atom_site_fract_x
_atom_site_fract_y
_atom_site_fract_z
Na1 Na 0.0000 0.5000 0.0000
Hf1 Hf 0.0000 0.0000 0.5000
Nb1 Nb 0.5000 0.5000 0.5000
Cd1 Cd 0.0000 0.0000 0.0000
# - formation energy from the elements (kJ per mole of atoms) = 139.5
# - total magnetic moment (μB/f.u.) = 2.48


[5]
# Ti2AgPd2 | Alexandria | GGA-PBEsol | optimized geometry
data_Ti2AgPd2
_cell_length_a 7.4565
_cell_length_b 7.4565
_cell_length_c 2.8495
_cell_angle_alpha 90.00
_cell_angle_beta 90.00
_cell_angle_gamma 90.00
_symmetry_space_group_name_H-M 'P 4/m b m'
_symmetry_Int_Tables_number 127
_symmetry_space_group_name_Hall '-P 4 2ab'
loop_
_atom_site_label
_atom_site_type_symbol
_atom_site_fract_x
_atom_site_fract_y
_atom_site_fract_z
Ti1 Ti 0.1665 0.3335 0.0000
Ag1 Ag 0.0000 0.0000 0.5000
Pd1 Pd 0.1311 0.6311 0.5000
# - formation energy from the elements (kJ per mole of atoms) = -37.1
# - total magnetic moment (μB/f.u.) = 0.01


[6]
# CaPtAu2 | Alexandria | GGA-PBEsol | optimized geometry
data_CaPtAu2
_cell_length_a 4.1421
_cell_length_b 4.1421
_cell_length_c 4.1117
_cell_angle_alpha 90.00
_cell_angle_beta 90.00
_cell_angle_gamma 90.00
_symmetry_space_group_name_H-M 'P 4/m m m'
_symmetry_Int_Tables_number 123
_symmetry_space_group_name_Hall '-P 4 2'
loop_
_atom_site_label
_atom_site_type_symbol
_atom_site_fract_x
_atom_site_fract_y
_atom_site_fract_z
Ca1 Ca 0.0000 0.0000 0.0000
Pt1 Pt 0.5000 0.5000 0.0000
Au1 Au 0.0000 0.5000 0.5000
# - energy relative to the lowest polymorph listed for this composition (meV/atom) = 0
# - formation energy from the elements (kJ per mole of atoms) = -53.9
# - total magnetic moment (μB/f.u.) = 0.00


[7]
# Cr2TcRu | Alexandria | GGA-PBEsol | optimized geometry
data_Cr2TcRu
_cell_length_a 2.6424
_cell_length_b 3.5961
_cell_length_c 5.2986
_cell_angle_alpha 90.00
_cell_angle_beta 90.00
_cell_angle_gamma 90.00
_symmetry_space_group_name_H-M 'P m m m'
_symmetry_Int_Tables_number 47
_symmetry_space_group_name_Hall '-P 2 2'
loop_
_atom_site_label
_atom_site_type_symbol
_atom_site_fract_x
_atom_site_fract_y
_atom_site_fract_z
Cr1 Cr 0.0000 0.0000 0.2472
Tc1 Tc 0.5000 0.5000 0.5000
Ru1 Ru 0.5000 0.5000 0.0000
# - formation energy from the elements (kJ per mole of atoms) = 18.1
# - total magnetic moment (μB/f.u.) = 0.00


[8]
# RbYW2 | Alexandria | GGA-PBEsol | optimized geometry
data_RbYW2
_cell_length_a 7.0614
_cell_length_b 7.0614
_cell_length_c 7.0614
_cell_angle_alpha 90.00
_cell_angle_beta 90.00
_cell_angle_gamma 90.00
_symmetry_space_group_name_H-M 'F m -3 m'
_symmetry_Int_Tables_number 225
_symmetry_space_group_name_Hall '-F 4 2 3'
loop_
_atom_site_label
_atom_site_type_symbol
_atom_site_fract_x
_atom_site_fract_y
_atom_site_fract_z
Rb1 Rb 0.0000 0.0000 0.0000
Y1 Y 0.0000 0.0000 0.5000
W1 W 0.2500 0.2500 0.2500
# - formation energy from the elements (kJ per mole of atoms) = 223.6
# - total magnetic moment (μB/f.u.) = 2.43


[9]
# CoRh2Cl | Alexandria | GGA-PBEsol | optimized geometry
data_CoRh2Cl
_cell_length_a 2.7419
_cell_length_b 4.6255
_cell_length_c 8.5156
_cell_angle_alpha 90.00
_cell_angle_beta 90.00
_cell_angle_gamma 90.00
_symmetry_space_group_name_H-M 'I m m m'
_symmetry_Int_Tables_number 71
_symmetry_space_group_name_Hall '-I 2 2'
loop_
_atom_site_label
_atom_site_type_symbol
_atom_site_fract_x
_atom_site_fract_y
_atom_site_fract_z
Co1 Co 0.0000 0.0000 0.0000
Rh1 Rh 0.0000 0.5000 0.2458
Cl1 Cl 0.0000 0.0000 0.5000
# - energy relative to the lowest polymorph listed for this composition (meV/atom) = 171
# - total magnetic moment (μB/f.u.) = 2.57
# - E_form (uncorrected) (eV per atom) = 0.5405


[10]
# SrCd2Cu | Alexandria | GGA-PBEsol | optimized geometry
data_SrCd2Cu
_cell_length_a 4.2597
_cell_length_b 4.5284
_cell_length_c 5.3296
_cell_angle_alpha 90.00
_cell_angle_beta 107.93
_cell_angle_gamma 90.00
_symmetry_space_group_name_H-M 'P 1 2/m 1'
_symmetry_Int_Tables_number 10
_symmetry_space_group_name_Hall '-P 2y'
loop_
_atom_site_label
_atom_site_type_symbol
_atom_site_fract_x
_atom_site_fract_y
_atom_site_fract_z
Sr1 Sr 0.0000 0.0000 0.0000
Cd1 Cd 0.3444 0.5000 0.7002
Cu1 Cu 0.5000 0.0000 0.5000
# - formation energy from the elements (kJ per mole of atoms) = -3.9
# - total magnetic moment (μB/f.u.) = 0.00


[11]
# Hf5Ge4 | Alexandria | GGA-PBEsol | optimized geometry
data_Hf5Ge4
_cell_length_a 6.9614
_cell_length_b 13.3251
_cell_length_c 7.0416
_cell_angle_alpha 90.00
_cell_angle_beta 90.00
_cell_angle_gamma 90.00
_symmetry_space_group_name_H-M 'P n m a'
_symmetry_Int_Tables_number 62
_symmetry_space_group_name_Hall '-P 2ac 2n'
loop_
_atom_site_label
_atom_site_type_symbol
_atom_site_fract_x
_atom_site_fract_y
_atom_site_fract_z
Hf1 Hf 0.0145 0.0950 0.1765
Hf2 Hf 0.1465 0.6241 0.3324
Hf3 Hf 0.1801 0.2500 0.4985
Ge1 Ge 0.0522 0.2500 0.8887
Ge2 Ge 0.1806 0.7500 0.6465
Ge3 Ge 0.1953 0.0407 0.5340
# - formation energy from the elements (kJ per mole of atoms) = -75.7
# - total magnetic moment (μB/f.u.) = 0.00


The highest total magnetic moment belongs to which entry? CoRh2Cl